This record from Alexandria describes a geometry-optimized FeSbSe structure. The functional is PBE.

Cell lengths 10.999, 12.447, 6.648 Å; angles 90.00, 90.00, 90.00 degrees
Space group Fdd2 (No. 43)
Symmetry-distinct sites (fractional):
1 Fe 0.008 0.260 0.000 (multiplicity 16)
2 Sb 0.096 0.423 0.502 (multiplicity 16)
3 Se 0.111 0.430 0.997 (multiplicity 16)

Results
V ... 910.1 Å³/cell
Energy ... -5.466 eV/atom